Entry 1:
Here is a geometry-optimized La2InNi structure from Alexandria via LeMat-Bulk. Energies are from PBE.

The structure in POSCAR format:
```
La2InNi
1.0
5.195 0.000 0.000
0.000 5.195 0.000
0.000 0.000 4.023
La In Ni
2 1 1
Direct
0.000 0.500 0.000
0.500 0.000 0.000
0.000 0.000 0.500
0.500 0.500 0.500
```

Symmetry: P4/mmm (123)
E_form in eV per atom: -0.23

Entry 2:
Here is a geometry-optimized CaZr2 structure from Alexandria via LeMat-Bulk. Energies are from PBE.

The structure in POSCAR format:
```
CaZr2
1.0
2.902 -1.677 0.000
2.902 1.677 0.000
-1.945 0.000 16.660
Ca Zr
2 4
Direct
0.000 0.000 0.000
0.729 0.729 0.201
0.121 0.121 0.375
0.224 0.224 0.676
0.606 0.606 0.825
0.838 0.838 0.523
```

Symmetry: Cm (8)
E_form in eV per atom: 0.19